[1]
Compound: Zn2Pd7Pt
Source: Alexandria via LeMat-Bulk
Functional: PBE
Structure: relaxed

```
data_Zn2Pd7Pt
_chemical_formula_sum 'Zn4 Pd14 Pt2'
_symmetry_space_group_name_H-M 'C m m m'
_symmetry_Int_Tables_number 65
_symmetry_space_group_name_Hall '-C 2 2'
_cell_length_a 7.238
_cell_length_b 12.939
_cell_length_c 4.052
_cell_angle_alpha 90.00
_cell_angle_beta 90.00
_cell_angle_gamma 90.00
loop_
_atom_site_label
_atom_site_type_symbol
_atom_site_fract_x
_atom_site_fract_y
_atom_site_fract_z
Zn1 Zn 0.000 0.193 0.000
Pd1 Pd 0.000 0.000 0.000
Pd2 Pd 0.000 0.295 0.500
Pd3 Pd 0.185 0.391 0.000
Pt1 Pt 0.000 0.500 0.500
```

Properties
The value obtained for the raw total energy is -0.1560 hartree per atom. The energy of formation from the pure elements comes out at 0.2496 eV per atom.

[2]
Compound: ZnPd8Pt2
Source: Alexandria via LeMat-Bulk
Functional: PBE
Structure: relaxed

```
data_ZnPd8Pt2
_chemical_formula_sum 'Zn2 Pd16 Pt4'
_symmetry_space_group_name_H-M 'C m m m'
_symmetry_Int_Tables_number 65
_symmetry_space_group_name_Hall '-C 2 2'
_cell_length_a 8.018
_cell_length_b 10.384
_cell_length_c 4.288
_cell_angle_alpha 90.00
_cell_angle_beta 90.00
_cell_angle_gamma 90.00
loop_
_atom_site_label
_atom_site_type_symbol
_atom_site_fract_x
_atom_site_fract_y
_atom_site_fract_z
Zn1 Zn 0.000 0.000 0.000
Pd1 Pd 0.000 0.241 0.000
Pd2 Pd 0.168 0.132 0.500
Pd3 Pd 0.174 0.500 0.000
Pt1 Pt 0.000 0.376 0.500
```

Properties
The value obtained for the raw total energy is -0.1829 hartree per atom. The energy of formation from the pure elements comes out at 0.0128 eV per atom. The energy above the most stable polymorph in this dataset comes out at 0.00 kcal/mol of atoms.